Li2CrW: relaxed, PBE-GGA.

a = 2.540 Å, b = 2.540 Å, c = 9.652 Å
α = 90.00°, β = 90.00°, γ = 111.34°
Fractional positions:
1 Li 0.000 0.000 0.993
2 Li 0.000 0.000 0.507
3 W 0.500 0.500 0.250
4 Cr 0.500 0.500 0.750

Properties
VASP energy (eV per atom): -6.04
Relative energy among the computed polymorphs (eV/atom): 0.234
E_form (eV per atom): 0.56
Symmetry: Cmmm

Sr2YHPb: relaxed, PBE-GGA.

a = 5.131 Å, b = 5.131 Å, c = 5.221 Å
α = 90.00°, β = 90.00°, γ = 90.00°
Fractional positions:
1 H 0.000 0.000 0.000
2 Pb 0.500 0.500 0.500
3 Sr 0.500 0.000 0.000
4 Sr 0.000 0.500 0.000
5 Y 0.000 0.000 0.500

Properties
VASP energy (eV per atom): -3.65
Symmetry: P4/mmm

GaRuPt3: relaxed, PBE-GGA.

a = 4.599 Å, b = 4.599 Å, c = 4.599 Å
α = 90.00°, β = 90.00°, γ = 90.00°
Fractional positions:
1 Ru 0.500 0.500 0.500
2 Ga 0.000 0.000 0.000
3 Pt 0.000 0.000 0.500
4 Pt 0.000 0.500 0.000
5 Pt 0.500 0.000 0.000

Properties
VASP energy (eV per atom): -5.11
Relative energy among the computed polymorphs (eV/atom): 0.000
E_form (eV per atom): 0.97
Symmetry: Pm-3m

Nd2Si7Pt12: relaxed, PBE-GGA.

a = 4.014 Å, b = 9.947 Å, c = 9.947 Å
α = 120.00°, β = 90.00°, γ = 90.00°
Fractional positions:
1 Pt 0.251 0.930 0.550
2 Si 0.254 0.403 0.115
3 Nd 0.754 0.667 0.333
4 Si 0.254 0.885 0.288
5 Pt 0.760 0.887 0.741
6 Si 0.746 0.288 0.403
7 Si 0.254 0.712 0.597
8 Pt 0.749 0.070 0.450
9 Pt 0.240 0.741 0.854
10 Pt 0.760 0.259 0.146
11 Pt 0.251 0.450 0.380
12 Pt 0.749 0.380 0.930
13 Pt 0.251 0.620 0.070
14 Pt 0.240 0.113 0.259
15 Si 0.746 0.115 0.712
16 Pt 0.760 0.854 0.113
17 Pt 0.749 0.550 0.620
18 Pt 0.240 0.146 0.887
19 Nd 0.246 0.333 0.667
20 Si 0.500 0.000 0.000
21 Si 0.746 0.597 0.885

Properties
VASP energy (eV per atom): -6.62
Symmetry: P-3
Formation energy without anion corrections (eV per formula unit): -18.94

Er2TlOs: relaxed, PBE-GGA.

a = 3.857 Å, b = 3.857 Å, c = 9.936 Å
α = 78.81°, β = 78.81°, γ = 60.00°
Fractional positions:
1 Er 0.887 0.887 0.340
2 Os 0.500 0.500 0.500
3 Tl 0.000 0.000 0.000
4 Er 0.113 0.113 0.660

Properties
VASP energy (eV per atom): -5.58
Relative energy among the computed polymorphs (eV/atom): 0.277
E_form (eV per atom): 0.10
Symmetry: R-3m

FeCoMo2Pt: relaxed, PBE-GGA.

a = 4.312 Å, b = 4.589 Å, c = 4.312 Å
α = 90.00°, β = 90.00°, γ = 90.00°
Fractional positions:
1 Fe 0.000 0.000 0.000
2 Pt 0.000 0.500 0.000
3 Mo 0.500 0.000 0.000
4 Co 0.500 0.500 0.500
5 Mo 0.000 0.000 0.500

Properties
VASP energy (eV per atom): -7.34
E_form (eV per atom): 1.31
Symmetry: P4/mmm

CaCdOF2: relaxed, PBE-GGA.

a = 4.228 Å, b = 4.228 Å, c = 4.663 Å
α = 90.00°, β = 90.00°, γ = 90.00°
Fractional positions:
1 F 0.500 0.000 0.000
2 Ca 0.000 0.000 0.000
3 Cd 0.500 0.500 0.500
4 F 0.000 0.500 0.000
5 O 0.000 0.000 0.500

Properties
VASP energy (eV per atom): -4.42
Symmetry: P4/mmm
Formation energy without anion corrections (eV per formula unit): -10.48

HfZn2Sb: relaxed, PBE-GGA.

a = 7.680 Å, b = 7.680 Å, c = 6.117 Å
α = 51.12°, β = 51.12°, γ = 90.00°
Fractional positions:
1 Zn 0.375 0.383 0.750
2 Sb 0.250 0.750 0.500
3 Hf 0.000 0.000 0.000
4 Hf 0.750 0.250 0.500
5 Sb 0.500 0.500 0.000
6 Zn 0.133 0.625 0.250
7 Zn 0.875 0.867 0.750
8 Zn 0.617 0.125 0.250

Properties
VASP energy (eV per atom): -4.08
Symmetry: I-42d
Formation energy without anion corrections (eV per formula unit): 0.32

TlCuSbSe3: relaxed, PBE-GGA.

a = 4.015 Å, b = 9.205 Å, c = 9.303 Å
α = 107.56°, β = 90.00°, γ = 90.00°
Fractional positions:
1 Se 0.750 0.208 0.526
2 Se 0.750 0.884 0.147
3 Se 0.750 0.452 0.168
4 Sb 0.750 0.332 0.853
5 Se 0.250 0.792 0.474
6 Se 0.250 0.116 0.853
7 Se 0.250 0.548 0.832
8 Tl 0.250 0.187 0.228
9 Cu 0.250 0.073 0.573
10 Sb 0.250 0.668 0.147
11 Tl 0.750 0.813 0.772
12 Cu 0.750 0.927 0.427

Properties
VASP energy (eV per atom): -3.77
Symmetry: P2_1/m
Formation energy without anion corrections (eV per formula unit): -1.60

AcCu2RhO4: relaxed, PBE-GGA.

a = 4.963 Å, b = 5.276 Å, c = 5.276 Å
α = 87.14°, β = 61.94°, γ = 61.94°
Fractional positions:
1 O 0.968 0.905 0.514
2 O 0.388 0.095 0.486
3 Cu 0.500 0.691 0.309
4 Ac 0.000 0.000 0.000
5 Rh 0.000 0.500 0.500
6 O 0.032 0.486 0.095
7 Cu 0.500 0.309 0.691
8 O 0.612 0.514 0.905

Properties
VASP energy (eV per atom): -6.07
Symmetry: I222
Formation energy without anion corrections (eV per formula unit): -9.07

Ac3SiCl2: relaxed, PBE-GGA.

a = 4.611 Å, b = 6.222 Å, c = 7.497 Å
α = 114.51°, β = 107.91°, γ = 90.00°
Fractional positions:
1 Si 0.500 0.500 0.500
2 Ac 0.158 0.658 0.816
3 Cl 0.838 0.838 0.175
4 Cl 0.162 0.162 0.825
5 Ac 0.500 0.000 0.500
6 Ac 0.842 0.342 0.184

Properties
VASP energy (eV per atom): -4.82
Relative energy among the computed polymorphs (eV/atom): 0.004
Symmetry: Immm
Formation energy without anion corrections (eV per formula unit): -7.50

Sc2AuBr: relaxed, PBE-GGA.

a = 5.045 Å, b = 5.045 Å, c = 5.045 Å
α = 60.00°, β = 60.00°, γ = 60.00°
Fractional positions:
1 Sc 0.000 0.000 0.000
2 Br 0.750 0.750 0.750
3 Au 0.500 0.500 0.500
4 Sc 0.250 0.250 0.250

Properties
VASP energy (eV per atom): -4.34
Relative energy among the computed polymorphs (eV/atom): 0.852
Symmetry: F-43m
Formation energy without anion corrections (eV per formula unit): 0.24

Question: Which of these has the highest VASP energy?
Answer: Sr2YHPb

Copy entry 6 word for word.
FeCoMo2Pt: relaxed, PBE-GGA.

a = 4.312 Å, b = 4.589 Å, c = 4.312 Å
α = 90.00°, β = 90.00°, γ = 90.00°
Fractional positions:
1 Fe 0.000 0.000 0.000
2 Pt 0.000 0.500 0.000
3 Mo 0.500 0.000 0.000
4 Co 0.500 0.500 0.500
5 Mo 0.000 0.000 0.500

Properties
VASP energy (eV per atom): -7.34
E_form (eV per atom): 1.31
Symmetry: P4/mmm

Question: Which of these has the lowest VASP energy?
Answer: FeCoMo2Pt

Question: The highest VASP energy belongs to which entry?
Answer: Sr2YHPb